Material: HgAsHBr2
Method: DFT, PBE
State: optimized geometry

The structure in POSCAR format:
```
HgAsHBr2
1.0
5.6283 0.0000 0.0000
0.0000 5.6283 0.0000
0.0000 0.0000 5.3282
Hg As H Br
1 1 1 2
direct
0.0000 0.0000 0.0000
0.0000 0.0000 0.5000
0.5000 0.5000 0.5000
0.0000 0.5000 0.0000
0.5000 0.0000 0.0000
```

Its raw total energy is -7.76 eV/f.u. As for the energy above the most stable polymorph in this dataset: 402.4 meV per atom.

***

Material: HgAs2HBr
Method: DFT, PBE
State: optimized geometry

The structure in POSCAR format:
```
HgAs2HBr
1.0
5.2667 0.0000 0.0000
0.0000 5.2667 0.0000
0.0000 0.0000 5.8719
Hg As H Br
1 2 1 1
direct
0.0000 0.0000 0.0000
0.0000 0.5000 0.0000
0.5000 0.0000 0.0000
0.5000 0.5000 0.5000
0.0000 0.0000 0.5000
```

Its raw total energy is -8.77 eV/f.u. As for the energy above the most stable polymorph in this dataset: 695.1 meV per atom.